(1)
Density functional theory data (PBE-GGA) for a geometry-optimized CeY2Al9 structure.

Unit cell a=9.3963 b=9.3963 c=9.3963 alpha=34.49 beta=34.49 gamma=34.49
Atoms (fractional coordinates):
Ce  0.0000  0.0000  0.0000
Y  0.1405  0.1405  0.1405
Y  0.8595  0.8595  0.8595
Al  0.0770  0.5866  0.5866
Al  0.3350  0.3350  0.3350
Al  0.4134  0.4134  0.9230
Al  0.4134  0.9230  0.4134
Al  0.5000  0.5000  0.5000
Al  0.5866  0.0770  0.5866
Al  0.5866  0.5866  0.0770
Al  0.6650  0.6650  0.6650
Al  0.9230  0.4134  0.4134

Final energy = -4.77 eV/atom
Energy relative to the elements = -0.40 eV per atom

=====

(2)
Density functional theory data (PBE-GGA) for a geometry-optimized YRuPb2 structure.

Unit cell a=4.4711 b=3.5296 c=6.9527 alpha=90.00 beta=108.49 gamma=90.00
Atoms (fractional coordinates):
Y  0.0000  0.0000  0.0000
Ru  0.5407  0.5000  0.0825
Pb  0.3346  0.5000  0.6673
Pb  0.7106  0.0000  0.4178

Final energy = -5.84 eV/atom
Energy relative to the elements = -0.05 eV per atom

=====

(3)
Density functional theory data (PBE-GGA) for a geometry-optimized TaTi3W structure.

Unit cell a=4.6885 b=4.6885 c=4.6885 alpha=90.00 beta=90.00 gamma=90.00
Atoms (fractional coordinates):
Ta  0.0000  0.0000  0.0000
Ti  0.0000  0.5000  0.5000
Ti  0.5000  0.0000  0.5000
Ti  0.5000  0.5000  0.0000
W  0.5000  0.5000  0.5000

Final energy = -8.57 eV/atom
E above lowest polymorph = 1119 meV/atom
Energy relative to the elements = 1.12 eV per atom

=====

(4)
Density functional theory data (PBE-GGA) for a geometry-optimized MnP3 structure.

Unit cell a=2.6743 b=7.0256 c=7.0256 alpha=25.98 beta=90.00 gamma=90.00
Atoms (fractional coordinates):
Mn  0.0000  0.0000  0.0000
P  0.5000  0.2573  0.2573
P  0.5000  0.5768  0.5768
P  0.5000  0.8697  0.8697

Final energy = -6.43 eV/atom
E above lowest polymorph = 78 meV/atom
Energy relative to the elements = -0.08 eV per atom

=====

(5)
Density functional theory data (PBE-GGA) for a geometry-optimized PmCdAgPt structure.

Unit cell a=4.9485 b=4.9485 c=4.9485 alpha=60.00 beta=60.00 gamma=60.00
Atoms (fractional coordinates):
Pm  0.0000  0.0000  0.0000
Cd  0.5000  0.5000  0.5000
Ag  0.2500  0.2500  0.2500
Pt  0.7500  0.7500  0.7500

Final energy = -4.18 eV/atom
Energy relative to the elements = -0.54 eV per atom

=====

(6)
Density functional theory data (PBE-GGA) for a geometry-optimized TbDy12Y3 structure.

Unit cell a=5.0213 b=5.0213 c=20.0667 alpha=90.00 beta=90.00 gamma=90.00
Atoms (fractional coordinates):
Tb  0.0000  0.0000  0.0000
Dy  0.0000  0.5000  0.1246
Dy  0.0000  0.5000  0.3748
Dy  0.0000  0.5000  0.6252
Dy  0.0000  0.5000  0.8754
Dy  0.5000  0.0000  0.1246
Dy  0.5000  0.0000  0.3748
Dy  0.5000  0.0000  0.6252
Dy  0.5000  0.0000  0.8754
Dy  0.5000  0.5000  0.0000
Dy  0.5000  0.5000  0.2499
Dy  0.5000  0.5000  0.5000
Dy  0.5000  0.5000  0.7501
Y  0.0000  0.0000  0.2498
Y  0.0000  0.0000  0.5000
Y  0.0000  0.0000  0.7502

Final energy = -4.93 eV/atom
Energy relative to the elements = 0.02 eV per atom

=====

(7)
Density functional theory data (PBE-GGA) for a geometry-optimized BeRh2Pb structure.

Unit cell a=4.2838 b=5.2059 c=5.2059 alpha=33.76 beta=90.00 gamma=90.00
Atoms (fractional coordinates):
Be  0.0000  0.0000  0.0000
Rh  0.0000  0.3189  0.3189
Rh  0.5000  0.9544  0.9544
Pb  0.5000  0.6840  0.6840

Final energy = -5.50 eV/atom
E above lowest polymorph = 145 meV/atom
Energy relative to the elements = 0.04 eV per atom

=====

(8)
Density functional theory data (PBE-GGA) for a geometry-optimized ErTm2Ga2Cu2 structure.

Unit cell a=9.3260 b=9.3260 c=9.3260 alpha=26.94 beta=26.94 gamma=26.94
Atoms (fractional coordinates):
Er  0.0000  0.0000  0.0000
Tm  0.1242  0.1242  0.1242
Tm  0.8758  0.8758  0.8758
Ga  0.2630  0.2630  0.2630
Ga  0.7370  0.7370  0.7370
Cu  0.3987  0.3987  0.3987
Cu  0.6013  0.6013  0.6013

Final energy = -4.36 eV/atom
Energy relative to the elements = -0.40 eV per atom

=====

(9)
Density functional theory data (PBE-GGA) for a geometry-optimized Ba2YMn structure.

Unit cell a=10.1730 b=10.1730 c=10.1730 alpha=158.25 beta=154.41 gamma=33.83
Atoms (fractional coordinates):
Ba  0.1572  0.1572  0.0000
Ba  0.8428  0.8428  0.0000
Y  0.5000  0.0000  0.5000
Mn  0.0000  0.5000  0.5000

Final energy = -4.46 eV/atom
E above lowest polymorph = 113 meV/atom
Energy relative to the elements = 0.41 eV per atom

=====

(10)
Density functional theory data (PBE-GGA) for a geometry-optimized HoTlP2 structure.

Unit cell a=6.9130 b=6.9130 c=6.9130 alpha=34.25 beta=34.25 gamma=34.25
Atoms (fractional coordinates):
Ho  0.0000  0.0000  0.0000
Tl  0.5000  0.5000  0.5000
P  0.2534  0.2534  0.2534
P  0.7466  0.7466  0.7466

Final energy = -4.85 eV/atom
E above lowest polymorph = 175 meV/atom
Energy relative to the elements = -0.41 eV per atom

=====

(11)
Density functional theory data (PBE-GGA) for a geometry-optimized YNbCo2 structure.

Unit cell a=5.7284 b=5.7284 c=5.7284 alpha=105.39 beta=105.39 gamma=117.98
Atoms (fractional coordinates):
Y  0.0000  0.0000  0.0000
Y  0.7500  0.2500  0.5000
Nb  0.2500  0.7500  0.5000
Nb  0.5000  0.5000  0.0000
Co  0.1643  0.1250  0.5393
Co  0.3750  0.8357  0.9607
Co  0.5857  0.6250  0.4607
Co  0.8750  0.4143  0.0393

Final energy = -7.36 eV/atom
Energy relative to the elements = 0.33 eV per atom

=====

(12)
Density functional theory data (PBE-GGA) for a geometry-optimized Zn2SbPt structure.

Unit cell a=3.0665 b=3.8020 c=6.1043 alpha=90.00 beta=90.00 gamma=90.00
Atoms (fractional coordinates):
Zn  0.0000  0.0000  0.2070
Zn  0.0000  0.0000  0.7930
Sb  0.5000  0.5000  0.5000
Pt  0.5000  0.5000  0.0000

Final energy = -3.30 eV/atom
ΔE_f (raw) = -0.5 eV per formula unit